VASP calculation (PBE-GGA) on crystalline Tm2MnTe at its relaxed geometry.

a b c (Å): 10.0142 10.0142 10.0142
angles (deg): 21.43 21.43 21.43
With the nearest neighbours (Å) after each atom.
Positions (direct):
Tm  0.0946  0.0946  0.0946  1 Mn 2.78, 3 Te 3.02
Tm  0.9054  0.9054  0.9054  1 Mn 2.78, 3 Te 3.02
Mn  0.0000  0.0000  0.0000  2 Tm 2.78
Te  0.5000  0.5000  0.5000  6 Tm 3.02

Formation energy without anion corrections   196 meV/atom
D(E_F)   3.46 states/eV/f.u.
Size of the total moment   3.0 μB per formula unit